! PBE-GGA PuTh2In6, optimized geometry; values from VASP
&SYSTEM
  ibrav = 0, nat = 9, ntyp = 3
/
ATOMIC_SPECIES
In 114.82 In.upf
Pu 244.00 Pu.upf
Th 232.04 Th.upf
CELL_PARAMETERS angstrom
-3.1282 -0.6755 -1.5149
0.1288 -8.1850 3.3781
-3.5275 -1.5561 7.9723
ATOMIC_POSITIONS crystal
In 0.4992 0.0000 0.6680
In 0.5000 0.3320 0.6680
In 0.4991 0.6680 0.0000
In 0.5008 0.0000 0.3320
In 0.5000 0.6680 0.3320
In 0.5009 0.3320 0.0000
Pu 0.0000 0.0000 0.0000
Th 0.9999 0.6667 0.6667
Th 0.0001 0.3333 0.3333
! Symmetry: No. 191

***

! PBE-GGA BaGa12Au4, optimized geometry; values from VASP
&SYSTEM
  ibrav = 0, nat = 17, ntyp = 3
/
ATOMIC_SPECIES
Ga 69.72 Ga.upf
Au 196.97 Au.upf
Ba 137.33 Ba.upf
CELL_PARAMETERS angstrom
7.8674 0.0000 0.0000
-2.6225 7.4175 0.0000
-2.6225 -3.7087 6.4237
ATOMIC_POSITIONS crystal
Ga 0.3572 0.2076 0.8504
Ga 0.6428 0.7924 0.1496
Ga 0.1496 0.3572 0.5069
Ga 0.5069 0.1496 0.3572
Ga 0.6428 0.4931 0.8504
Ga 0.8504 0.3572 0.2076
Ga 0.1496 0.6428 0.7924
Ga 0.2076 0.8504 0.3572
Ga 0.3572 0.5069 0.1496
Ga 0.4931 0.8504 0.6428
Ga 0.8504 0.6428 0.4931
Ga 0.7924 0.1496 0.6428
Au 0.0000 0.5000 0.0000
Au 0.0000 0.0000 0.5000
Au 0.5000 0.0000 0.0000
Au 0.5000 0.5000 0.5000
Ba 0.0000 0.0000 0.0000
! Symmetry: No. 204

***

Number 1: density of states at the Fermi level 11.13 states/eV per cell, electronic total energy -5.31 eV/atom. Number 2: density of states at the Fermi level 7.89 states/eV per cell, electronic total energy -3.20 eV/atom.